A plane-wave DFT calculation with PBE was carried out for HfTiOsRu after structural relaxation.

Formation energy   -0.720 eV per atom
Total DFT energy (no corrections)   -10.3083 eV/atom
E above lowest polymorph   0.00 eV per formula unit

a b c (Å): 3.169 3.169 6.343
angles (deg): 90.00 90.00 90.00
Fractional coordinates of all 4 atoms:
1 Hf 0.000 0.000 0.000
2 Ti 0.000 0.000 0.501
3 Os 0.500 0.500 0.263
4 Ru 0.500 0.500 0.741